No. 1
! In3AuSe PBE-GGA optimized geometry; values from VASP
! ΔE_f (raw): 392 meV/atom
! space group: Pm-3m, No. 221
! V: 35.823 A^3/atom
! E above lowest polymorph: 450.2 meV per atom
! total magnetic moment: 0.00 μB/f.u.
&SYSTEM
  ibrav = 0, nat = 5, ntyp = 3
/
ATOMIC_SPECIES
In 114.82 In.upf
Au 196.97 Au.upf
Se 78.96 Se.upf
CELL_PARAMETERS angstrom
5.637 0.000 0.000
0.000 5.637 0.000
0.000 0.000 5.637
ATOMIC_POSITIONS crystal
In 0.000 0.000 0.500
In 0.000 0.500 0.000
In 0.500 0.000 0.000
Au 0.500 0.500 0.500
Se 0.000 0.000 0.000

---

No. 2
! InAuSe2 PBE-GGA optimized geometry; values from VASP
! ΔE_f (raw): -140 meV/atom
! space group: Pbcn, No. 60
! V: 23.378 A^3/atom
! total magnetic moment: 0.00 μB/f.u.
&SYSTEM
  ibrav = 0, nat = 16, ntyp = 3
/
ATOMIC_SPECIES
In 114.82 In.upf
Au 196.97 Au.upf
Se 78.96 Se.upf
CELL_PARAMETERS angstrom
6.776 0.000 0.000
0.000 7.775 0.000
0.000 0.000 7.100
ATOMIC_POSITIONS crystal
In 0.000 0.128 0.250
In 0.000 0.872 0.750
In 0.500 0.372 0.750
In 0.500 0.628 0.250
Au 0.000 0.367 0.750
Au 0.000 0.633 0.250
Au 0.500 0.133 0.250
Au 0.500 0.867 0.750
Se 0.249 0.119 0.592
Se 0.249 0.881 0.092
Se 0.251 0.381 0.092
Se 0.251 0.619 0.592
Se 0.749 0.381 0.408
Se 0.749 0.619 0.908
Se 0.751 0.119 0.908
Se 0.751 0.881 0.408

---

No. 3
! In3AuSe PBE-GGA optimized geometry; values from VASP
! ΔE_f (raw): -58 meV/atom
! space group: Pm-3m, No. 221
! V: 29.555 A^3/atom
! E above lowest polymorph: 0.0 meV per atom
! total magnetic moment: 0.00 μB/f.u.
&SYSTEM
  ibrav = 0, nat = 5, ntyp = 3
/
ATOMIC_SPECIES
In 114.82 In.upf
Au 196.97 Au.upf
Se 78.96 Se.upf
CELL_PARAMETERS angstrom
5.287 0.000 0.000
0.000 5.287 0.000
0.000 0.000 5.287
ATOMIC_POSITIONS crystal
In 0.000 0.000 0.500
In 0.000 0.500 0.000
In 0.500 0.000 0.000
Au 0.000 0.000 0.000
Se 0.500 0.500 0.500

---

No. 4
! InAuSe2 PBE-GGA optimized geometry; values from VASP
! ΔE_f (raw): -41 meV/atom
! space group: Cmmm, No. 65
! V: 29.721 A^3/atom
! total magnetic moment: 0.00 μB/f.u.
&SYSTEM
  ibrav = 0, nat = 4, ntyp = 3
/
ATOMIC_SPECIES
In 114.82 In.upf
Au 196.97 Au.upf
Se 78.96 Se.upf
CELL_PARAMETERS angstrom
1.934 -4.077 0.000
1.934 4.077 0.000
0.000 0.000 7.538
ATOMIC_POSITIONS crystal
In 0.000 0.000 0.000
Au 0.000 0.000 0.500
Se 0.500 0.500 0.276
Se 0.500 0.500 0.724

---

No. 5
! InAuSe PBE-GGA optimized geometry; values from VASP
! ΔE_f (raw): -4 meV/atom
! space group: I4mm, No. 107
! V: 22.789 A^3/atom
! total magnetic moment: 0.00 μB/f.u.
&SYSTEM
  ibrav = 0, nat = 3, ntyp = 3
/
ATOMIC_SPECIES
In 114.82 In.upf
Au 196.97 Au.upf
Se 78.96 Se.upf
CELL_PARAMETERS angstrom
-2.013 2.013 4.217
2.013 -2.013 4.217
2.013 2.013 -4.217
ATOMIC_POSITIONS crystal
In 0.000 0.000 0.000
Au 0.337 0.337 0.000
Se 0.655 0.655 0.000

---

No. 6
! In4AuSe PBE-GGA optimized geometry; values from VASP
! ΔE_f (raw): 230 meV/atom
! space group: F-43m, No. 216
! V: 26.844 A^3/atom
! total magnetic moment: 0.00 μB/f.u.
&SYSTEM
  ibrav = 0, nat = 6, ntyp = 3
/
ATOMIC_SPECIES
In 114.82 In.upf
Au 196.97 Au.upf
Se 78.96 Se.upf
CELL_PARAMETERS angstrom
0.000 4.318 4.318
4.318 0.000 4.318
4.318 4.318 0.000
ATOMIC_POSITIONS crystal
In 0.125 0.125 0.125
In 0.125 0.125 0.625
In 0.125 0.625 0.125
In 0.625 0.125 0.125
Au 0.500 0.500 0.500
Se 0.750 0.750 0.750